! KCo2SbCl8, optimized geometry, DFT GGA-PBE; values from VASP
&SYSTEM
  ibrav = 0, nat = 12, ntyp = 4
/
ATOMIC_SPECIES
K 39.10 K.upf
Cl 35.45 Cl.upf
Sb 121.76 Sb.upf
Co 58.93 Co.upf
CELL_PARAMETERS angstrom
6.439 0.000 0.000
3.219 5.576 0.000
3.219 1.859 9.662
ATOMIC_POSITIONS angstrom
K 6.439 3.717 4.831
Cl 7.508 5.545 8.068
Cl 3.219 1.859 4.509
Cl 5.370 1.890 1.594
Cl 5.390 5.557 1.594
Cl 9.658 5.576 5.153
Cl 8.556 3.706 1.594
Cl 4.321 3.729 8.068
Cl 7.487 1.878 8.068
Sb 0.000 0.000 0.000
Co 3.219 1.859 2.325
Co 9.658 5.576 7.337
! Uncorrected formation energy: -0.86 eV per atom
! Total magnetic moment: 6.0 μB/f.u.
! Space-group type: R-3, No. 148
! Uncorrected energy: -3.713 eV/atom